No. 1
A relaxed TiFe2Rh2 crystal, computed with PBE.

Calculated values
- Energy relative to the elements: -0.10 eV per atom
- Total magnetization: 3.50 μB per formula unit
- Symmetry: P4/mbm, No. 127
- Raw total energy: -8.00 eV per atom

a = 7.0950 Å, b = 7.0950 Å, c = 2.7181 Å
α = 90.00°, β = 90.00°, γ = 90.00°
With the nearest neighbours (Å) after each atom.
Fractional positions:
Ti  0.0000  0.0000  0.0000  2 Ti 2.72, 4 Fe 2.84, 8 Rh 2.94
Ti  0.5000  0.5000  0.0000  2 Ti 2.72, 4 Fe 2.84, 8 Rh 2.94
Fe  0.1177  0.3823  0.0000  1 Fe 2.36, 6 Rh 2.45-2.54
Fe  0.3823  0.8823  0.0000  1 Fe 2.36, 6 Rh 2.45-2.54
Fe  0.6177  0.1177  0.0000  1 Fe 2.36, 6 Rh 2.45-2.54
Fe  0.8823  0.6177  0.0000  1 Fe 2.36, 6 Rh 2.45-2.54
Rh  0.1791  0.6791  0.5000  6 Fe 2.45-2.54, 2 Rh 2.72
Rh  0.3209  0.1791  0.5000  6 Fe 2.45-2.54, 2 Rh 2.72
Rh  0.6791  0.8209  0.5000  6 Fe 2.45-2.54, 2 Rh 2.72
Rh  0.8209  0.3209  0.5000  6 Fe 2.45-2.54, 2 Rh 2.72

=====

No. 2
A relaxed TiVFeRh crystal, computed with PBE.

Calculated values
- Energy relative to the elements: -0.32 eV per atom
- Total magnetization: 1.49 μB per formula unit
- Symmetry: F-43m, No. 216
- Raw total energy: -8.52 eV per atom

a = 4.2542 Å, b = 4.2542 Å, c = 4.2542 Å
α = 60.00°, β = 60.00°, γ = 60.00°
With the nearest neighbours (Å) after each atom.
Fractional positions:
Ti  0.0000  0.0000  0.0000  4 Fe 2.61, 4 Rh 2.61
V  0.5000  0.5000  0.5000  4 Fe 2.61, 4 Rh 2.61
Fe  0.7500  0.7500  0.7500  4 V 2.61, 4 Ti 2.61
Rh  0.2500  0.2500  0.2500  4 Ti 2.61, 4 V 2.61